Record 1
Th2UPaN6 | PBE | optimized geometry

```
Th2UPaN6
1.0
3.0503 1.7611 4.9257
-3.0503 1.7611 4.9257
0.0000 -3.5222 4.9257
Th U Pa N
2 1 1 6
Cartesian
0.0000 0.0000 0.0000 Th
0.0000 0.0000 7.3881 Th
0.0000 0.0000 3.3825 U
0.0000 0.0000 10.7945 Pa
-2.3447 0.1820 6.8648 N
-0.7049 -1.6085 9.3153 N
1.0147 -2.1215 6.8648 N
-1.0405 1.4147 9.3153 N
1.3300 1.9395 6.8648 N
1.7454 0.1938 9.3153 N
```

Values from the calculation:
Calculated total energy (Ry/atom): -0.74332
Energy relative to the elements, uncorrected (eV/atom): -1.56
Space-group type: No. 146
D(E_F) (states/eV/f.u.): 1.06

Record 2
Th2PaWN6 | PBE | optimized geometry

```
Th2PaWN6
1.0
5.5487 0.0000 0.0000
0.0000 5.5487 0.0000
0.0000 0.0000 5.1649
Th Pa W N
2 1 1 6
Cartesian
0.0000 2.7743 0.0000 Th
2.7743 0.0000 0.0000 Th
0.0000 0.0000 2.9350 Pa
2.7743 2.7743 3.0401 W
0.0000 0.0000 0.7275 N
1.4465 1.4465 3.7849 N
1.4465 4.1021 3.7849 N
2.7743 2.7743 1.1868 N
4.1021 1.4465 3.7849 N
4.1021 4.1021 3.7849 N
```

Values from the calculation:
Calculated total energy (Ry/atom): -0.72981
Energy relative to the elements, uncorrected (eV/atom): -1.21
Space-group type: No. 99
D(E_F) (states/eV/f.u.): 4.00

Record 3
Y2Th3PaN6 | PBE | optimized geometry

```
Y2Th3PaN6
1.0
3.0790 -5.3322 0.0000
3.0790 5.3322 0.0000
-2.0445 0.0000 5.8936
Y Th Pa N
2 3 1 6
Cartesian
3.0790 3.5525 0.0000 Y
3.0790 -3.5525 0.0000 Y
-1.0222 0.0000 2.9468 Th
2.0567 1.7945 2.9468 Th
2.0567 -1.7945 2.9468 Th
3.0790 0.0000 0.0000 Pa
0.0433 1.7118 4.5309 N
1.1064 0.0000 1.3758 N
0.0433 -1.7118 4.5309 N
4.0701 1.7118 1.3627 N
3.0070 0.0000 4.5178 N
4.0701 -1.7118 1.3627 N
```

Values from the calculation:
Calculated total energy (Ry/atom): -0.69833
Energy relative to the elements, uncorrected (eV/atom): -1.61
Space-group type: No. 12
D(E_F) (states/eV/f.u.): 5.16

Record 4
Th2PaZnN5 | PBE | optimized geometry

```
Th2PaZnN5
1.0
1.7697 -7.0108 0.0000
1.7697 7.0108 0.0000
0.0000 0.0000 10.5760
Th Pa Zn N
4 2 2 10
Cartesian
1.7697 5.4245 5.2880 Th
1.7697 5.2732 1.1946 Th
1.7697 -5.2732 6.4826 Th
1.7697 -5.4245 0.0000 Th
1.7697 4.2239 8.6412 Pa
1.7697 -4.2239 3.3532 Pa
1.7697 0.1412 3.1353 Zn
1.7697 -0.1412 8.4233 Zn
1.7697 6.3763 9.3003 N
1.7697 2.9454 4.8807 N
1.7697 2.8292 1.8597 N
1.7697 1.9866 8.8271 N
1.7697 0.0886 6.3625 N
1.7697 -0.0886 1.0745 N
1.7697 -1.9866 3.5391 N
1.7697 -2.8292 7.1476 N
1.7697 -2.9454 10.1686 N
1.7697 -6.3763 4.0123 N
```

Values from the calculation:
Calculated total energy (Ry/atom): -0.64057
Energy relative to the elements, uncorrected (eV/atom): -1.24
Space-group type: No. 36

Record 5
ThZrPa2N4 | PBE | optimized geometry

```
ThZrPa2N4
1.0
5.9852 0.0000 0.0000
0.0000 3.4833 0.0000
-1.9925 0.0000 5.7422
Th Zr Pa N
1 1 2 4
Cartesian
0.0000 0.0000 0.0000 Th
-0.9963 1.7416 2.8711 Zr
1.9964 0.0000 2.8711 Pa
2.9926 1.7416 0.0000 Pa
0.0126 0.0000 4.1971 N
0.9939 1.7416 1.5688 N
2.9988 1.7416 4.1734 N
3.9801 0.0000 1.5451 N
```

Values from the calculation:
Calculated total energy (Ry/atom): -0.74455
Energy relative to the elements, uncorrected (eV/atom): -1.60
Space-group type: No. 10
D(E_F) (states/eV/f.u.): 4.60

Record 6
Th2ZrPaN6 | PBE | optimized geometry

```
Th2ZrPaN6
1.0
3.0042 1.7345 4.9244
-3.0042 1.7345 4.9244
0.0000 -3.4689 4.9244
Th Zr Pa N
2 1 1 6
Cartesian
0.0000 0.0000 0.0000 Th
0.0000 0.0000 7.3773 Th
0.0000 0.0000 3.3992 Zr
0.0000 0.0000 10.7811 Pa
-2.3209 0.1685 6.7972 N
-0.6606 -1.6110 9.2739 N
1.0145 -2.0942 6.7972 N
-1.0648 1.3776 9.2739 N
1.3064 1.9257 6.7972 N
1.7254 0.2334 9.2739 N
```

Values from the calculation:
Calculated total energy (Ry/atom): -0.71423
Energy relative to the elements, uncorrected (eV/atom): -1.43
Space-group type: No. 146
D(E_F) (states/eV/f.u.): 6.72

Record 7
ThZrPa2N6 | PBE | optimized geometry

```
ThZrPa2N6
1.0
2.9768 1.7187 4.9749
-2.9768 1.7187 4.9749
0.0000 -3.4373 4.9749
Th Zr Pa N
1 1 2 6
Cartesian
0.0000 0.0000 0.0000 Th
0.0000 0.0000 7.2232 Zr
0.0000 0.0000 3.9702 Pa
0.0000 0.0000 11.5028 Pa
-1.6577 -0.1347 5.5434 N
-1.1946 -1.6830 7.9951 N
0.9455 -1.3683 5.5434 N
-0.8602 1.8761 7.9951 N
0.7122 1.5030 5.5434 N
2.0548 -0.1931 7.9951 N
```

Values from the calculation:
Calculated total energy (Ry/atom): -0.73896
Energy relative to the elements, uncorrected (eV/atom): -1.56
Space-group type: No. 146
D(E_F) (states/eV/f.u.): 0.00

Record 8
ThZr2PaN4 | PBE | optimized geometry

```
ThZr2PaN4
1.0
5.8563 0.0000 0.0000
0.0000 3.3767 0.0000
-1.9441 0.0000 5.6999
Th Zr Pa N
1 2 1 4
Cartesian
0.0000 0.0000 0.0000 Th
-0.9721 1.6884 2.8500 Zr
1.9561 0.0000 2.8500 Zr
2.9281 1.6884 0.0000 Pa
0.0542 0.0000 4.1488 N
1.0289 1.6884 1.5816 N
2.8833 1.6884 4.1183 N
3.8580 0.0000 1.5511 N
```

Values from the calculation:
Calculated total energy (Ry/atom): -0.73751
Energy relative to the elements, uncorrected (eV/atom): -1.62
Space-group type: No. 10
D(E_F) (states/eV/f.u.): 3.71

Record 9
Th2ZrPaN4 | PBE | optimized geometry

```
Th2ZrPaN4
1.0
6.0451 0.0000 0.0000
0.0000 3.4937 0.0000
-1.9803 0.0000 5.8159
Th Zr Pa N
2 1 1 4
Cartesian
0.0000 0.0000 0.0000 Th
3.0225 1.7468 0.0000 Th
-0.9902 1.7468 2.9079 Zr
2.0324 0.0000 2.9079 Pa
-0.0017 0.0000 4.1772 N
0.9666 1.7468 1.6341 N
3.0982 1.7468 4.1818 N
4.0665 0.0000 1.6387 N
```

Values from the calculation:
Calculated total energy (Ry/atom): -0.72612
Energy relative to the elements, uncorrected (eV/atom): -1.61
Space-group type: No. 10
D(E_F) (states/eV/f.u.): 2.91

Record 10
Pa2TiN5 | PBE | optimized geometry

```
Pa2TiN5
1.0
8.8977 0.0000 0.0000
0.0000 7.4084 0.0000
-0.1296 0.0000 6.5744
Pa Ti N
8 4 20
Cartesian
0.0650 0.9323 1.6699 Pa
0.0002 2.7719 4.9571 Pa
2.9947 1.0316 6.1922 Pa
3.0595 2.6726 2.9050 Pa
5.7087 4.7358 3.6693 Pa
5.7735 6.3768 0.3822 Pa
8.7680 4.6365 1.6173 Pa
8.7032 6.4761 4.9045 Pa
3.0422 4.4171 5.9432 Ti
3.1070 6.6955 2.6560 Ti
5.6612 0.7129 3.9184 Ti
5.7260 2.9913 0.6312 Ti
0.7545 0.8397 5.9879 N
0.8193 2.8645 2.7008 N
0.8431 4.7310 6.0817 N
0.9079 6.3816 2.7945 N
2.3757 0.9160 1.7028 N
2.3109 2.7882 4.9900 N
3.4368 4.8946 3.6552 N
3.5016 6.2180 0.3680 N
3.5478 0.5930 4.0483 N
3.6126 3.1112 0.7611 N
5.1555 4.2972 5.8133 N
5.2203 6.8154 2.5261 N
5.2665 1.1904 6.2064 N
5.3313 2.5138 2.9192 N
6.4572 4.6202 1.5844 N
6.3924 6.4924 4.8716 N
7.8603 1.0268 3.7799 N
7.9251 2.6774 0.4927 N
7.9488 4.5439 3.8736 N
8.0136 6.5687 0.5864 N
```

Values from the calculation:
Calculated total energy (Ry/atom): -0.73012
Energy relative to the elements, uncorrected (eV/atom): -1.37
Space-group type: No. 14
D(E_F) (states/eV/f.u.): 4.94